LiBe2Al after structural relaxation. Source: Alexandria, functional PBE.

abc: 2.763 2.763 6.199
angles: 90.00 90.00 90.00
Fractional positions:
Be (0.500, 0.500, 0.205)
Be (0.000, 0.000, 0.042)
Li (0.000, 0.000, 0.469)
Al (0.500, 0.500, 0.784)

Computed properties:
The total energy comes out at -3.13 eV/atom. The density of states at the Fermi level comes out at 1.38 states/eV per cell. As for the energy of formation from the pure elements: 0.15 eV per atom. As for the symmetry: No. 99.